{"formula": "CrAg2Cl", "functional": "PBE", "state": "optimized geometry", "e_above_lowest_polymorph_mev_per_atom": 168, "volume_a3_per_cell": 79.6, "formation_energy_uncorrected_ev_per_atom": 0.231, "space_group": "C2/m, No. 12", "cell": [[4.400, -0.002, -0.006], [-2.186, 5.885, 0.011], [0.028, 0.863, 3.075]], "species": ["Ag", "Ag", "Cr", "Cl"], "fractional_positions": [[0.000, 0.000, 0.000], [0.500, 0.000, 0.500], [0.500, 0.500, 0.000], [0.000, 0.500, 0.500]]}